## BaLi2Ru (PBE-GGA)

Data for a geometry-optimized BaLi2Ru structure.

a = 4.353 Å, b = 4.353 Å, c = 4.615 Å
α = 90.00°, β = 90.00°, γ = 90.00°
Space group P4/mmm (No. 123)
Inequivalent atoms, fractional coordinates:
Ba1 0.000 0.000 0.000
Li1 0.000 0.500 0.500
Ru1 0.500 0.500 0.000

Summary:
DOS at the Fermi energy = 2.29 states/eV per cell
volume = 21.864 Å³ per atom
raw total energy = -12.867 eV per cell

***

## Y2PaTc (PBE-GGA)

Data for a geometry-optimized Y2PaTc structure.

a = 7.114 Å, b = 9.694 Å, c = 6.305 Å
α = 90.00°, β = 90.00°, γ = 90.00°
Space group Pnma (No. 62)
Inequivalent atoms, fractional coordinates:
Y1 0.175 0.063 0.172
Pa1 0.052 0.250 0.662
Tc1 0.138 0.750 0.002

Summary:
DOS at the Fermi energy = 20.91 states/eV per cell
volume = 27.174 Å³ per atom
raw total energy = -133.945 eV per cell

***

## CaNbOsI2 (PBE-GGA)

Data for a geometry-optimized CaNbOsI2 structure.

a = 5.561 Å, b = 5.561 Å, c = 5.163 Å
α = 90.00°, β = 90.00°, γ = 90.00°
Space group P4/mmm (No. 123)
Inequivalent atoms, fractional coordinates:
Ca1 0.000 0.000 0.000
Nb1 0.500 0.500 0.500
Os1 0.000 0.000 0.500
I1 0.000 0.500 0.000

Summary:
DOS at the Fermi energy = 11.11 states/eV per cell
volume = 31.935 Å³ per atom
raw total energy = -16.978 eV per cell

***

## Nd3Mg2Cd3 (PBE-GGA)

Data for a geometry-optimized Nd3Mg2Cd3 structure.

a = 4.647 Å, b = 5.009 Å, c = 18.331 Å
α = 90.00°, β = 90.00°, γ = 90.00°
Space group Immm (No. 71)
Inequivalent atoms, fractional coordinates:
Nd1 0.000 0.000 0.000
Nd2 0.000 0.500 0.129
Mg1 0.000 0.000 0.245
Cd1 0.000 0.000 0.500
Cd2 0.000 0.500 0.359

Summary:
DOS at the Fermi energy = 13.35 states/eV per cell
volume = 26.670 Å³ per atom
raw total energy = -43.855 eV per cell

***

## KTlCl2 (PBE-GGA)

Data for a geometry-optimized KTlCl2 structure.

a = 7.134 Å, b = 7.134 Å, c = 14.180 Å
α = 90.00°, β = 90.00°, γ = 90.00°
Space group I-42d (No. 122)
Inequivalent atoms, fractional coordinates:
K1 0.000 0.000 0.000
Tl1 0.000 0.000 0.500
Cl1 0.245 0.250 0.125

Summary:
DOS at the Fermi energy = 0.00 states/eV per cell
volume = 45.104 Å³ per atom
raw total energy = -51.179 eV per cell

***

## RbHfZn2Sb (PBE-GGA)

Data for a geometry-optimized RbHfZn2Sb structure.

a = 5.283 Å, b = 5.283 Å, c = 6.329 Å
α = 90.00°, β = 90.00°, γ = 90.00°
Space group P4/mmm (No. 123)
Inequivalent atoms, fractional coordinates:
Rb1 0.000 0.000 0.000
Hf1 0.500 0.500 0.500
Zn1 0.000 0.500 0.000
Sb1 0.000 0.000 0.500

Summary:
DOS at the Fermi energy = 5.83 states/eV per cell
volume = 35.331 Å³ per atom
raw total energy = -9.897 eV per cell